Entry from the Alexandria database: PuHf2In after structural relaxation (PBE-GGA).

Cell and atoms, written as POSCAR:
```
PuHf2In
1.0
3.2334 0.0000 0.0000
1.6167 2.8002 0.0000
1.6167 0.9334 10.2180
In Hf Pu
1 2 1
Cartesian
3.2334 1.8668 0.0013
1.6167 0.9334 2.5320
1.6167 0.9334 7.6783
3.2334 1.8668 5.1153
```

Calculated volume = 92.52 Å³/cell
DFT formation energy = 0.0470 eV per atom
DOS(E_F) = 1.57 states/eV/atom
Relative energy among the computed polymorphs = 0.084 eV/atom

---

Entry from the Alexandria database: PuHf2In after structural relaxation (PBE-GGA).

Cell and atoms, written as POSCAR:
```
PuHf2In
1.0
-0.3491 -4.6173 -1.9586
4.1538 -2.4436 -1.4324
1.6110 -3.9730 2.6262
Pu Hf In
1 2 1
Cartesian
2.7079 -5.5170 -0.3824
4.0618 -8.2755 -0.5737
1.3539 -2.7585 -0.1912
0.0000 0.0000 0.0000
```

Calculated volume = 89.86 Å³/cell
DFT formation energy = 0.0894 eV per atom
DOS(E_F) = 2.69 states/eV/atom
Relative energy among the computed polymorphs = 0.126 eV/atom

---

Entry from the Alexandria database: PuHf2In after structural relaxation (PBE-GGA).

Cell and atoms, written as POSCAR:
```
PuHf2In
1.0
3.2467 0.0000 0.0000
1.6233 2.8117 0.0000
1.6233 0.9372 10.1533
Pu In Hf
1 1 2
Cartesian
0.0000 0.0000 0.0000
3.2467 1.8745 5.0766
1.6233 0.9372 2.5442
4.8700 2.8117 7.6091
```

Calculated volume = 92.69 Å³/cell
DFT formation energy = 0.0377 eV per atom
DOS(E_F) = 1.77 states/eV/atom
Relative energy among the computed polymorphs = 0.074 eV/atom